No. 1
Computed, not measured: crystalline RhF at its relaxed geometry at the PBE level of DFT.

Values from the calculation:
The crystal system is cubic. Its polymorph energy (0 for the lowest one) is 0.5780 eV per atom. As for the uncorrected formation energy: -0.079 eV/atom.

Lattice parameters (Å, degrees): 7.298 7.298 7.298 90.00 90.00 90.00
Space group I-43m (No. 217)
Asymmetric unit:
Rh1 0.119 0.119 0.881
F1 0.224 0.224 0.224

***

No. 2
Computed, not measured: crystalline Ti4CdIn at its relaxed geometry at the PBE level of DFT.

Values from the calculation:
The crystal system is orthorhombic. The calculation puts the formation energy at -101 meV/atom.

Lattice parameters (Å, degrees): 3.891 13.458 4.258 90.00 90.00 90.00
Space group Cmmm (No. 65)
Asymmetric unit:
Ti1 0.000 0.176 0.000
Ti2 0.000 0.323 0.500
Cd1 0.000 0.000 0.500
In1 0.000 0.500 0.000

***

No. 3
Computed, not measured: crystalline LiCu2Ni at its relaxed geometry at the PBE level of DFT.

Values from the calculation:
The crystal system is orthorhombic. Its polymorph energy (0 for the lowest one) is 0.0690 eV per atom. The calculation puts the formation energy at 23 meV/atom.

Lattice parameters (Å, degrees): 2.697 4.141 8.402 90.00 90.00 90.00
Space group Immm (No. 71)
Asymmetric unit:
Li1 0.000 0.000 0.000
Cu1 0.000 0.500 0.245
Ni1 0.000 0.000 0.500

***

No. 4
Computed, not measured: crystalline CdGe2Pd at its relaxed geometry at the PBE level of DFT.

Values from the calculation:
The crystal system is trigonal. The calculation puts the formation energy at -53 meV/atom.

Lattice parameters (Å, degrees): 3.1319 3.1319 27.7432 90.00 90.00 120.00
Space group R-3m (No. 166, hexagonal axes)
Asymmetric unit:
Cd1 0.0000 0.0000 0.0000
Ge1 0.0000 0.0000 0.0984
Pd1 0.0000 0.0000 0.5000

***

No. 5
Computed, not measured: crystalline TlTePt at its relaxed geometry at the PBE level of DFT.

Values from the calculation:
The crystal system is cubic. As for the uncorrected formation energy: -0.098 eV/atom.

Lattice parameters (Å, degrees): 6.732 6.732 6.732 90.00 90.00 90.00
Space group F-43m (No. 216)
Asymmetric unit:
Tl1 0.000 0.000 0.000
Te1 0.000 0.000 0.500
Pt1 0.250 0.250 0.750

***

No. 6
Computed, not measured: crystalline Tl4In at its relaxed geometry at the PBE level of DFT.

Values from the calculation:
The crystal system is cubic. Its polymorph energy (0 for the lowest one) is 0.2789 eV per atom. The calculation puts the formation energy at 315 meV/atom.

Lattice parameters (Å, degrees): 5.846 5.846 5.846 90.00 90.00 90.00
Space group Pm-3m (No. 221)
Asymmetric unit:
Tl1 0.000 0.000 0.000
Tl2 0.000 0.500 0.500
In1 0.500 0.500 0.500

***

No. 7
Computed, not measured: crystalline Na4Zr3RhS8 at its relaxed geometry at the PBE level of DFT.

Values from the calculation:
The crystal system is trigonal. As for the uncorrected formation energy: -1.274 eV/atom.

Lattice parameters (Å, degrees): 7.3795 7.3795 20.2532 90.00 90.00 120.00
Space group R-3m (No. 166, hexagonal axes)
Asymmetric unit:
Na1 0.0000 0.0000 0.0000
Na2 0.0000 0.5000 0.0000
Zr1 0.0000 0.5000 0.5000
Rh1 0.0000 0.0000 0.5000
S1 0.0000 0.0000 0.2415
S2 0.0084 0.5042 0.2389

***

No. 8
Computed, not measured: crystalline La2InW at its relaxed geometry at the PBE level of DFT.

Values from the calculation:
The crystal system is orthorhombic. The calculation puts the formation energy at 310 meV/atom.

Lattice parameters (Å, degrees): 4.038 5.134 10.249 90.00 90.00 90.00
Space group Imm2 (No. 44)
Asymmetric unit:
La1 0.000 0.000 0.000
La2 0.000 0.500 0.219
In1 0.000 0.000 0.447
W1 0.000 0.500 0.757

***

No. 9
Computed, not measured: crystalline AuNCl at its relaxed geometry at the PBE level of DFT.

Values from the calculation:
The crystal system is monoclinic. Its polymorph energy (0 for the lowest one) is 1.7179 eV per atom. As for the uncorrected formation energy: 1.602 eV/atom.

Lattice parameters (Å, degrees): 8.975 6.703 6.482 90.00 94.89 90.00
Space group P2_1/c (No. 14)
Asymmetric unit:
Au1 0.000 0.248 0.250
N1 0.478 0.245 0.610
Cl1 0.181 0.503 0.770

***

No. 10
Computed, not measured: crystalline Nd5PbS4 at its relaxed geometry at the PBE level of DFT.

Values from the calculation:
The crystal system is monoclinic. As for the uncorrected formation energy: -1.687 eV/atom.

Lattice parameters (Å, degrees): 13.776 4.176 10.282 90.00 119.29 90.00
Space group C2/m (No. 12)
Asymmetric unit:
Nd1 0.000 0.000 0.000
Nd2 0.110 0.500 0.389
Nd3 0.204 0.000 0.816
Pb1 0.000 0.000 0.500
S1 0.095 0.500 0.898
S2 0.203 0.000 0.290

***

No. 11
Computed, not measured: crystalline FeTcNi2H at its relaxed geometry at the PBE level of DFT.

Values from the calculation:
The crystal system is tetragonal. Its polymorph energy (0 for the lowest one) is 0.0392 eV per atom.

Lattice parameters (Å, degrees): 3.592 3.592 3.800 90.00 90.00 90.00
Space group P4/mmm (No. 123)
Asymmetric unit:
Fe1 0.000 0.000 0.000
Tc1 0.500 0.500 0.000
Ni1 0.000 0.500 0.500
H1 0.000 0.000 0.500

***

No. 12
Computed, not measured: crystalline AgHg2Bi at its relaxed geometry at the PBE level of DFT.

Values from the calculation:
The crystal system is tetragonal. The calculation puts the formation energy at 141 meV/atom.

Lattice parameters (Å, degrees): 4.624 4.624 4.581 90.00 90.00 90.00
Space group P4/mmm (No. 123)
Asymmetric unit:
Ag1 0.000 0.000 0.000
Hg1 0.000 0.500 0.500
Bi1 0.500 0.500 0.000

***

No. 13
Computed, not measured: crystalline ThPa2Sb at its relaxed geometry at the PBE level of DFT.

Values from the calculation:
The crystal system is cubic. Its polymorph energy (0 for the lowest one) is 0.3265 eV per atom. As for the uncorrected formation energy: 0.047 eV/atom.

Lattice parameters (Å, degrees): 7.544 7.544 7.544 90.00 90.00 90.00
Space group Fm-3m (No. 225)
Asymmetric unit:
Th1 0.000 0.000 0.000
Pa1 0.250 0.250 0.250
Sb1 0.000 0.000 0.500

***

No. 14
Computed, not measured: crystalline HgMo3I at its relaxed geometry at the PBE level of DFT.

Values from the calculation:
The crystal system is cubic. Its polymorph energy (0 for the lowest one) is 0.0000 eV per atom. As for the uncorrected formation energy: 2.010 eV/atom.

Lattice parameters (Å, degrees): 4.878 4.878 4.878 90.00 90.00 90.00
Space group Pm-3m (No. 221)
Asymmetric unit:
Hg1 0.000 0.000 0.000
Mo1 0.000 0.500 0.500
I1 0.500 0.500 0.500

***

No. 15
Computed, not measured: crystalline LaMgWC2 at its relaxed geometry at the PBE level of DFT.

Values from the calculation:
The crystal system is tetragonal. The calculation puts the formation energy at 2218 meV/atom.

Lattice parameters (Å, degrees): 4.252 4.252 4.876 90.00 90.00 90.00
Space group P4/mmm (No. 123)
Asymmetric unit:
La1 0.000 0.000 0.000
Mg1 0.500 0.500 0.500
W1 0.500 0.500 0.000
C1 0.000 0.500 0.500

***

No. 16
Computed, not measured: crystalline CaMgFe2 at its relaxed geometry at the PBE level of DFT.

Values from the calculation:
The crystal system is cubic. The calculation puts the formation energy at 496 meV/atom.

Lattice parameters (Å, degrees): 6.585 6.585 6.585 90.00 90.00 90.00
Space group F-43m (No. 216)
Asymmetric unit:
Ca1 0.000 0.000 0.000
Mg1 0.250 0.250 0.750
Fe1 0.000 0.000 0.500
Fe2 0.250 0.250 0.250

***

No. 17
Computed, not measured: crystalline Sc3GaPb at its relaxed geometry at the PBE level of DFT.

Values from the calculation:
The crystal system is cubic. Its polymorph energy (0 for the lowest one) is 0.0000 eV per atom. The calculation puts the formation energy at -191 meV/atom.

Lattice parameters (Å, degrees): 5.064 5.064 5.064 90.00 90.00 90.00
Space group Pm-3m (No. 221)
Asymmetric unit:
Sc1 0.000 0.000 0.500
Ga1 0.000 0.000 0.000
Pb1 0.500 0.500 0.500

***

No. 18
Computed, not measured: crystalline Ag3GeSe at its relaxed geometry at the PBE level of DFT.

Values from the calculation:
The crystal system is cubic. Its polymorph energy (0 for the lowest one) is 0.0000 eV per atom. As for the uncorrected formation energy: 0.574 eV/atom.

Lattice parameters (Å, degrees): 5.029 5.029 5.029 90.00 90.00 90.00
Space group Pm-3m (No. 221)
Asymmetric unit:
Ag1 0.000 0.000 0.500
Ge1 0.500 0.500 0.500
Se1 0.000 0.000 0.000

***

No. 19
Computed, not measured: crystalline CsAs2PdSe at its relaxed geometry at the PBE level of DFT.

Values from the calculation:
The crystal system is tetragonal. Its polymorph energy (0 for the lowest one) is 0.0000 eV per atom. As for the uncorrected formation energy: 0.071 eV/atom.

Lattice parameters (Å, degrees): 4.971 4.971 5.596 90.00 90.00 90.00
Space group P4/mmm (No. 123)
Asymmetric unit:
Cs1 0.000 0.000 0.000
As1 0.000 0.500 0.500
Pd1 0.500 0.500 0.500
Se1 0.500 0.500 0.000

***

No. 20
Computed, not measured: crystalline Sm6Tm5In at its relaxed geometry at the PBE level of DFT.

Values from the calculation:
The crystal system is orthorhombic. The calculation puts the formation energy at -56 meV/atom.

Lattice parameters (Å, degrees): 5.001 9.867 15.098 90.00 90.00 90.00
Space group Immm (No. 71)
Asymmetric unit:
Sm1 0.000 0.246 0.000
Sm2 0.000 0.253 0.333
Tm1 0.000 0.000 0.167
Tm2 0.000 0.000 0.500
Tm3 0.000 0.500 0.165
In1 0.000 0.500 0.500

***

We obtain theoretical density values of 4.2 6.2 6.8 7.7 11.5 7.8 3.8 9.0 4.2 6.8 9.2 12.2 12.6 8.8 7.0 4.1 5.3 6.2 5.6 8.3 g cm⁻³ for the records listed above, in that order.